Record 1
This record from Alexandria via LeMat-Bulk describes crystalline MgOs2Ru at its relaxed geometry. The functional is PBE-GGA.

Unit cell a=4.535 b=4.535 c=2.851 alpha=90.00 beta=90.00 gamma=90.00
Element x y z (fractional)
Mg1 0.000 0.500 0.500
Os1 0.000 0.000 0.000
Os2 0.500 0.500 0.000
Ru1 0.500 0.000 0.500

Summary:
Formation energy from the elements (eV/f.u.): 1.8

---

Record 2
This record from Alexandria via LeMat-Bulk describes crystalline Mn6GaPt5 at its relaxed geometry. The functional is PBE-GGA.

Unit cell a=4.052 b=7.265 c=7.374 alpha=119.51 beta=105.95 gamma=90.00
Element x y z (fractional)
Mn1 0.833 0.581 0.667
Mn2 0.833 0.086 0.667
Mn3 0.500 0.747 0.000
Mn4 0.500 0.253 0.000
Mn5 0.167 0.914 0.333
Mn6 0.167 0.419 0.333
Pt1 0.661 0.161 0.323
Pt2 0.331 0.331 0.662
Pt3 0.000 0.500 0.000
Pt4 0.669 0.669 0.338
Pt5 0.339 0.839 0.677
Ga1 0.000 0.000 0.000

Summary:
Formation energy from the elements (eV/f.u.): -3.7